[1]
Density functional theory data (PBEsol) for LiTcHg2 after structural relaxation.

SG: Cmm2
Energy (Ry per atom): -0.2399
Fermi-level density of states (states/eV per cell): 2.15
Polymorph energy (0 for the lowest one) (meV per atom): 230
Theoretical density (Mg/m³): 11.99
ΔH_f (0 K) (eV per atom): 0.327
Calculated volume (Å³ per atom): 17.53

Cell and atoms, written as CIF:
```
data_LiTcHg2
_chemical_formula_sum 'Li1 Tc1 Hg2'
_cell_length_a 2.7663
_cell_length_b 2.7663
_cell_length_c 9.4191
_cell_angle_alpha 90.00
_cell_angle_beta 90.00
_cell_angle_gamma 103.39
_space_group_name_H-M_alt 'P 1'
_space_group_IT_number 1
_space_group_name_Hall 'P 1'
loop_
_atom_site_label
_atom_site_fract_x
_atom_site_fract_y
_atom_site_fract_z
_atom_site_occupancy
Li1 0.0000 0.0000 0.4884 1
Hg1 0.0000 0.0000 0.0224 1
Hg2 0.5000 0.5000 0.7241 1
Tc1 0.5000 0.5000 0.2651 1
```

=====

[2]
Density functional theory data (PBEsol) for BaGa2Ni2 after structural relaxation.

SG: I4/mmm
Energy (Ry per atom): -0.3354
Fermi-level density of states (states/eV per cell): 3.27
Theoretical density (Mg/m³): 6.73
ΔH_f (0 K) (eV per atom): -0.334
Calculated volume (Å³ per atom): 19.46

Cell and atoms, written as CIF:
```
data_BaGa2Ni2
_chemical_formula_sum 'Ba1 Ga2 Ni2'
_cell_length_a 4.1672
_cell_length_b 4.1672
_cell_length_c 6.3312
_cell_angle_alpha 109.21
_cell_angle_beta 109.21
_cell_angle_gamma 90.00
_space_group_name_H-M_alt 'P 1'
_space_group_IT_number 1
_space_group_name_Hall 'P 1'
loop_
_atom_site_label
_atom_site_fract_x
_atom_site_fract_y
_atom_site_fract_z
_atom_site_occupancy
Ni1 0.2500 0.7500 0.5000 1
Ni2 0.7500 0.2500 0.5000 1
Ba1 0.0000 0.0000 0.0000 1
Ga1 0.6525 0.6525 0.3049 1
Ga2 0.3475 0.3475 0.6951 1
```

=====

[3]
Density functional theory data (PBEsol) for BeInAg2 after structural relaxation.

SG: F-43m
Energy (Ry per atom): -0.2343
Fermi-level density of states (states/eV per cell): 0.74
Theoretical density (Mg/m³): 8.74
ΔH_f (0 K) (eV per atom): 0.214
Calculated volume (Å³ per atom): 16.14

Cell and atoms, written as CIF:
```
data_BeInAg2
_chemical_formula_sum 'Be1 In1 Ag2'
_cell_length_a 4.5027
_cell_length_b 4.5027
_cell_length_c 4.5027
_cell_angle_alpha 60.00
_cell_angle_beta 60.00
_cell_angle_gamma 60.00
_space_group_name_H-M_alt 'P 1'
_space_group_IT_number 1
_space_group_name_Hall 'P 1'
loop_
_atom_site_label
_atom_site_fract_x
_atom_site_fract_y
_atom_site_fract_z
_atom_site_occupancy
In1 0.7500 0.7500 0.7500 1
Ag1 0.2500 0.2500 0.2500 1
Ag2 0.0000 0.0000 0.0000 1
Be1 0.5000 0.5000 0.5000 1
```